A plane-wave DFT calculation with PBE was carried out for a geometry-optimized Dy5ErTmIn2 structure.

V = 558.1 Å³ per cell
total moment = 0.0 μB/f.u.
energy = -74.9 eV per cell

Cell lengths 7.628, 7.628, 11.005 Å; angles 110.28, 110.28, 90.00 degrees
Positions (direct):
1 Dy 0.923 0.423 0.251
2 Dy 0.672 0.172 0.749
3 Dy 0.077 0.577 0.749
4 Dy 0.172 0.077 0.749
5 Dy 0.577 0.672 0.749
6 Dy 0.828 0.923 0.251
7 Dy 0.423 0.328 0.251
8 Dy 0.328 0.828 0.251
9 Dy 0.500 0.500 0.000
10 Dy 0.000 0.000 0.000
11 Er 0.250 0.250 0.500
12 Er 0.750 0.750 0.500
13 Tm 0.250 0.750 0.500
14 Tm 0.750 0.250 0.500
15 In 0.123 0.377 0.000
16 In 0.623 0.123 0.000
17 In 0.377 0.877 0.000
18 In 0.877 0.623 0.000